# PBE KAcN, relaxed
# Formation energy from raw total energies ... -0.481 eV per atom
data_KAcN
_chemical_formula_sum 'K4 Ac4 N4'
_symmetry_space_group_name_H-M 'P 1'
_symmetry_Int_Tables_number 1
_symmetry_space_group_name_Hall 'P 1'
_cell_length_a 4.065
_cell_length_b 8.365
_cell_length_c 14.975
_cell_angle_alpha 90.00
_cell_angle_beta 90.00
_cell_angle_gamma 90.00
loop_
_atom_site_label
_atom_site_type_symbol
_atom_site_fract_x
_atom_site_fract_y
_atom_site_fract_z
_atom_site_occupancy
N1 N 0.250 0.059 0.072 1
N2 N 0.750 0.441 0.572 1
N3 N 0.750 0.941 0.928 1
N4 N 0.250 0.559 0.428 1
Ac1 Ac 0.750 0.681 0.485 1
Ac2 Ac 0.750 0.181 0.015 1
Ac3 Ac 0.250 0.819 0.985 1
Ac4 Ac 0.250 0.319 0.515 1
K1 K 0.250 0.483 0.254 1
K2 K 0.250 0.983 0.246 1
K3 K 0.750 0.517 0.746 1
K4 K 0.750 0.017 0.754 1



# PBE KAcN, relaxed
# Formation energy from raw total energies ... -0.507 eV per atom
data_KAcN
_chemical_formula_sum 'K1 Ac1 N1'
_symmetry_space_group_name_H-M 'P 1'
_symmetry_Int_Tables_number 1
_symmetry_space_group_name_Hall 'P 1'
_cell_length_a 7.376
_cell_length_b 3.980
_cell_length_c 3.980
_cell_angle_alpha 120.00
_cell_angle_beta 90.00
_cell_angle_gamma 90.00
loop_
_atom_site_label
_atom_site_type_symbol
_atom_site_fract_x
_atom_site_fract_y
_atom_site_fract_z
_atom_site_occupancy
Ac1 Ac 0.152 0.000 0.000 1
K1 K 0.574 0.667 0.333 1
N1 N 0.274 0.333 0.667 1



# PBE KAc2Os2N6, relaxed
# Formation energy from raw total energies ... -0.310 eV per atom
data_KAc2Os2N6
_chemical_formula_sum 'K1 Ac2 Os2 N6'
_symmetry_space_group_name_H-M 'P 1'
_symmetry_Int_Tables_number 1
_symmetry_space_group_name_Hall 'P 1'
_cell_length_a 7.003
_cell_length_b 7.241
_cell_length_c 7.185
_cell_angle_alpha 113.42
_cell_angle_beta 96.12
_cell_angle_gamma 50.52
loop_
_atom_site_label
_atom_site_type_symbol
_atom_site_fract_x
_atom_site_fract_y
_atom_site_fract_z
_atom_site_occupancy
K1 K 0.500 0.000 0.500 1
Ac1 Ac 0.820 0.354 0.804 1
Ac2 Ac 0.180 0.646 0.196 1
Os1 Os 0.137 0.675 0.736 1
Os2 Os 0.863 0.325 0.264 1
N1 N 0.351 0.689 0.886 1
N2 N 0.968 0.445 0.167 1
N3 N 0.974 0.865 0.590 1
N4 N 0.032 0.555 0.833 1
N5 N 0.026 0.135 0.410 1
N6 N 0.649 0.311 0.114 1